Record 1
Entry from the Alexandria database: a geometry-optimized HfCd structure (PBE).

Cell: 11.2887 11.2887 2.8849 Å, 90.00 90.00 90.00°
Fractional coordinates of all 16 atoms:
Hf 0.3355 0.6006 0.5000
Hf 0.8994 0.8355 0.0000
Hf 0.6645 0.3994 0.5000
Hf 0.6006 0.6645 0.5000
Hf 0.8355 0.1006 0.0000
Hf 0.1645 0.8994 0.0000
Hf 0.3994 0.3355 0.5000
Hf 0.1006 0.1645 0.0000
Cd 0.6445 0.9050 0.0000
Cd 0.8555 0.5950 0.5000
Cd 0.1445 0.4050 0.5000
Cd 0.5950 0.1445 0.5000
Cd 0.4050 0.8555 0.5000
Cd 0.3555 0.0950 0.0000
Cd 0.0950 0.6445 0.0000
Cd 0.9050 0.3555 0.0000

Computed properties:
Density of states at the Fermi level in states/eV/f.u.: 1.9
Total magnetization in μB/atom: 0.00
VASP energy in eV/f.u.: -10.0
Theoretical density in Mg/m³: 10.51

=====

Record 2
Entry from the Alexandria database: a geometry-optimized TbPrCl structure (PBE).

Cell: 3.7402 3.7402 7.2785 Å, 90.00 90.00 120.00°
Each line ends with the local moment (μB).
Fractional coordinates of all 3 atoms:
Pr 0.6667 0.3333 0.3517  0.09
Tb 0.0000 0.0000 0.9675  0.18
Cl 0.3333 0.6667 0.6807  0.00

Computed properties:
Density of states at the Fermi level in states/eV/f.u.: 3.5
Total magnetization in μB/atom: 0.15
VASP energy in eV/f.u.: -14.0
Theoretical density in Mg/m³: 6.31

=====

Record 3
Entry from the Alexandria database: a geometry-optimized LiZnCu2 structure (PBE).

Cell: 4.4934 4.4934 4.4934 Å, 130.89 130.89 71.99°
Fractional coordinates of all 4 atoms:
Li 0.2500 0.7500 0.5000
Cu 0.5000 0.5000 0.0000
Cu 0.0000 0.0000 0.0000
Zn 0.7500 0.2500 0.5000

Computed properties:
Density of states at the Fermi level in states/eV/f.u.: 1.4
Total magnetization in μB/atom: 0.00
VASP energy in eV/f.u.: -11.8
Theoretical density in Mg/m³: 6.53

=====

What did the second record say?
Entry from the Alexandria database: a geometry-optimized TbPrCl structure (PBE).

Cell: 3.7402 3.7402 7.2785 Å, 90.00 90.00 120.00°
Each line ends with the local moment (μB).
Fractional coordinates of all 3 atoms:
Pr 0.6667 0.3333 0.3517  0.09
Tb 0.0000 0.0000 0.9675  0.18
Cl 0.3333 0.6667 0.6807  0.00

Computed properties:
Density of states at the Fermi level in states/eV/f.u.: 3.5
Total magnetization in μB/atom: 0.15
VASP energy in eV/f.u.: -14.0
Theoretical density in Mg/m³: 6.31

=====

Look up the density of states at the Fermi level of the second one. 3.5 states/eV/f.u.

=====

total magnetization of number 3 (LiZnCu2)? 0.00 μB/atom

=====

theoretical density of number 2 (TbPrCl)? 6.31 Mg/m³